#i
LiCa3Sn PBE relaxed; volume = 308.2 Å³/cell; theoretical density = 2.65 g/cm3; magnetization = 0.00 μB per cell
1.0
5.193 0.000 1.187
0.000 5.331 0.000
0.178 0.000 11.177
Ca Sn Li
6 2 2
Direct
0.755 0.250 0.139 Ca
0.391 0.250 0.865 Ca
0.894 0.750 0.861 Ca
0.075 0.750 0.499 Ca
0.574 0.250 0.501 Ca
0.257 0.750 0.135 Ca
0.986 0.250 0.676 Sn
0.662 0.750 0.324 Sn
0.484 0.750 0.680 Li
0.164 0.250 0.320 Li

***

#ii
LiCa3Sn PBE relaxed; volume = 220.2 Å³/cell; theoretical density = 1.85 g/cm3; magnetization = 0.00 μB per cell
1.0
6.039 0.000 0.000
0.000 6.039 0.000
0.000 0.000 6.039
Ca Li Sn
3 1 1
Direct
0.000 0.500 0.000 Ca
0.500 0.000 0.000 Ca
0.000 0.000 0.500 Ca
0.500 0.500 0.500 Li
0.000 0.000 0.000 Sn

***

#i is the most stable structure; the next one sits 285 meV/atom above it.

***

#i
Li4CaSn PBE relaxed; volume = 275.9 Å³/cell; theoretical density = 2.25 g/cm3; magnetization = 0.00 μB per cell
1.0
-3.090 -2.581 -2.651
5.661 -2.663 -4.006
2.251 -4.602 6.240
Ca Sn Li
2 2 8
Direct
0.618 0.250 0.235 Ca
0.382 0.750 0.765 Ca
0.833 0.250 0.666 Sn
0.167 0.750 0.334 Sn
0.582 0.750 0.164 Li
0.000 0.500 0.000 Li
0.252 0.083 0.504 Li
0.252 0.417 0.504 Li
0.000 0.000 0.000 Li
0.418 0.250 0.836 Li
0.748 0.583 0.496 Li
0.748 0.917 0.496 Li

***

#ii
Li4CaSn PBE relaxed; volume = 122.8 Å³/cell; theoretical density = 2.52 g/cm3; magnetization = 0.00 μB per cell
1.0
-2.537 -4.916 0.720
-1.199 -3.193 -4.415
2.810 -4.742 -0.859
Li Sn Ca
4 1 1
Direct
0.122 0.626 0.626 Li
0.626 0.626 0.122 Li
0.626 0.626 0.626 Li
0.626 0.122 0.626 Li
0.000 0.000 0.000 Sn
0.250 0.250 0.250 Ca

***

#ii is the most stable structure; the next one sits 63 meV/atom above it.

***

#i
LiCa2Sn3 PBE relaxed; volume = 162.2 Å³/cell; theoretical density = 4.54 g/cm3; magnetization = 0.00 μB per cell
1.0
-4.038 1.560 2.172
-5.151 -0.368 -3.913
-3.498 -4.559 2.170
Li Sn Ca
1 3 2
Direct
0.171 0.405 0.253 Li
0.823 0.215 0.139 Sn
0.857 0.583 0.703 Sn
0.153 0.806 0.888 Sn
0.549 0.188 0.714 Ca
0.447 0.803 0.303 Ca

***

#ii
LiCa2Sn3 PBE relaxed; volume = 167.3 Å³/cell; theoretical density = 4.40 g/cm3; magnetization = 0.00 μB per cell
1.0
4.305 0.000 0.000
0.000 4.788 0.000
0.000 0.000 8.118
Sn Ca Li
3 2 1
Direct
0.500 0.000 0.189 Sn
0.500 0.500 0.644 Sn
0.500 0.000 0.841 Sn
0.000 0.500 0.992 Ca
0.000 0.000 0.512 Ca
0.500 0.500 0.321 Li

***

#i is the most stable structure; the next one sits 51 meV/atom above it.